[1]
Material: NdReTe
Method: DFT, PBE
State: optimized geometry

Properties
Mass density: 9.64 g/cm³
Symmetry: F-43m
Crystal system: cubic

Geometry as extended XYZ:
```
3
Lattice="0.000 3.405 3.405 3.405 0.000 3.405 3.405 3.405 0.000" Properties=species:S:1:pos:R:3 pbc="T T T"
Nd 1.702 1.702 1.702
Re 5.107 5.107 5.107
Te 0.000 0.000 0.000
```

---

[2]
Material: NdReTe
Method: DFT, PBE
State: optimized geometry

Properties
Mass density: 8.64 g/cm³
Symmetry: F-43m
Crystal system: cubic

Geometry as extended XYZ:
```
3
Lattice="4.593 1.635 1.081 0.934 2.055 4.454 2.798 -2.441 3.339" Properties=species:S:1:pos:R:3 pbc="T T T"
Nd 0.000 0.000 0.000
Re 2.081 0.312 2.219
Te 6.244 0.937 6.656
```

---

[3]
Material: NdThRe
Method: DFT, PBE
State: optimized geometry

Properties
Mass density: 10.89 g/cm³
Symmetry: F-43m
Energy of formation: 0.21 eV per atom
Crystal system: cubic

Geometry as extended XYZ:
```
3
Lattice="0.000 3.501 3.501 3.501 0.000 3.501 3.501 3.501 0.000" Properties=species:S:1:pos:R:3 pbc="T T T"
Nd 0.000 0.000 0.000
Re 1.750 1.750 1.750
Th 3.501 3.501 3.501
```

---

[4]
Material: NdThRe
Method: DFT, PBE
State: optimized geometry

Properties
Mass density: 10.87 g/cm³
Symmetry: R3m
Energy of formation: 0.21 eV per atom
Crystal system: trigonal

Geometry as extended XYZ:
```
3
Lattice="2.487 1.436 4.011 -2.487 1.436 4.011 0.000 -2.872 4.011" Properties=species:S:1:pos:R:3 pbc="T T T"
Nd 0.000 0.000 4.337
Re 0.000 0.000 1.313
Th 0.000 0.000 10.355
```

---

[5]
Material: NdTlRe
Method: DFT, PBE
State: optimized geometry

Properties
Mass density: 11.18 g/cm³
Symmetry: F-43m
Crystal system: cubic

Geometry as extended XYZ:
```
3
Lattice="4.473 1.311 1.246 0.888 1.606 4.462 2.539 -2.711 3.079" Properties=species:S:1:pos:R:3 pbc="T T T"
Nd 1.975 0.051 2.197
Re 5.925 0.154 6.591
Tl 0.000 0.000 0.000
```

---

[6]
Material: NdTlRe
Method: DFT, PBE
State: optimized geometry

Properties
Mass density: 10.43 g/cm³
Symmetry: F-43m
Crystal system: cubic

Geometry as extended XYZ:
```
3
Lattice="0.000 3.492 3.492 3.492 0.000 3.492 3.492 3.492 0.000" Properties=species:S:1:pos:R:3 pbc="T T T"
Nd 0.000 0.000 0.000
Re 1.746 1.746 1.746
Tl 5.238 5.238 5.238
```

---

[7]
Material: NdTmRe
Method: DFT, PBE
State: optimized geometry

Properties
Mass density: 10.61 g/cm³
Symmetry: F-43m
Energy of formation: 1.10 eV per atom
Crystal system: cubic

Geometry as extended XYZ:
```
3
Lattice="0.000 3.393 3.393 3.393 0.000 3.393 3.393 3.393 0.000" Properties=species:S:1:pos:R:3 pbc="T T T"
Nd 1.697 1.697 1.697
Re 5.090 5.090 5.090
Tm 0.000 0.000 0.000
```

---

[8]
Material: NdURe
Method: DFT, PBE
State: optimized geometry

Properties
Mass density: 12.00 g/cm³
Symmetry: F-43m
Energy of formation: 0.63 eV per atom
Crystal system: cubic

Geometry as extended XYZ:
```
3
Lattice="0.000 3.400 3.400 3.400 0.000 3.400 3.400 3.400 0.000" Properties=species:S:1:pos:R:3 pbc="T T T"
Nd 0.000 0.000 0.000
Re 1.700 1.700 1.700
U 3.400 3.400 3.400
```

---

| no. | calculated total energy (eV per atom) |
| --- | --- |
| 1 | -6.158 |
| 2 | -5.708 |
| 3 | -7.990 |
| 4 | -7.990 |
| 5 | -5.492 |
| 6 | -5.135 |
| 7 | -6.121 |
| 8 | -8.862 |